First-principles (PBE+U) data for an optimized crystal structure of V2O3, as listed in Alexandria.

Cell lengths 3.910, 3.910, 7.750 Å; angles 100.90, 100.90, 85.67 degrees
Fractional coordinates of all 10 atoms:
V 0.069 0.310 0.161
V 0.310 0.069 0.661
V 0.690 0.931 0.339
V 0.931 0.690 0.839
O 0.083 0.203 0.899
O 0.203 0.083 0.399
O 0.395 0.605 0.750
O 0.605 0.395 0.250
O 0.797 0.917 0.601
O 0.917 0.797 0.101

space-group type: C2/c, No. 15
theoretical density: 4.36 g/cm3
total energy: -7.7940 eV per atom